[1]
Density functional theory data (PBE) for crystalline CdMo2Pb at its relaxed geometry.

```
CdMo2Pb
1.0
1.6564 -2.5058 0.0000
1.6564 2.5058 0.0000
0.0000 0.0000 10.1312
Cd Mo Pb
1 2 1
Direct
0.0000 0.0000 0.0000
0.0000 0.0000 0.4283
0.5000 0.5000 0.2411
0.5000 0.5000 0.6871
```

Calculated values
* calculated density: 10.1 Mg/m³
* energy: -24.56 eV per cell
* relative energy among the computed polymorphs: 69 meV/atom
* DFT formation energy: 431 meV/atom


[2]
Density functional theory data (PBE) for crystalline CdMoPb at its relaxed geometry.

```
CdMoPb
1.0
-1.5732 1.9860 5.0798
1.5732 -1.9860 5.0798
1.5732 1.9860 -5.0798
Cd Mo Pb
1 1 1
Direct
0.0000 0.0000 0.0000
0.6475 0.6475 0.0000
0.3113 0.3113 0.0000
```

Calculated values
* calculated density: 10.9 Mg/m³
* energy: -13.33 eV per cell
* relative energy among the computed polymorphs: 98 meV/atom
* DFT formation energy: 709 meV/atom


[3]
Density functional theory data (PBE) for crystalline CdMo2Pb at its relaxed geometry.

```
CdMo2Pb
1.0
2.8891 0.0000 0.0000
0.0000 2.8891 0.0000
0.0000 0.0000 9.2816
Cd Mo Pb
1 2 1
Direct
0.0000 0.0000 0.0000
0.5000 0.5000 0.2398
0.5000 0.5000 0.7602
0.0000 0.0000 0.5000
```

Calculated values
* calculated density: 11.0 Mg/m³
* energy: -22.90 eV per cell
* relative energy among the computed polymorphs: 485 meV/atom
* DFT formation energy: 847 meV/atom


[4]
Density functional theory data (PBE) for crystalline CdMo2Pb at its relaxed geometry.

```
CdMo2Pb
1.0
2.9800 0.0000 0.0000
0.0000 4.7785 0.0000
-0.5853 0.0000 5.5458
Cd Mo Pb
1 2 1
Direct
0.0000 0.0000 0.0000
0.3315 0.5000 0.7855
0.6685 0.5000 0.2145
0.5000 0.0000 0.5000
```

Calculated values
* calculated density: 10.8 Mg/m³
* energy: -23.65 eV per cell
* relative energy among the computed polymorphs: 296 meV/atom
* DFT formation energy: 658 meV/atom


[5]
Density functional theory data (PBE) for crystalline CdMo2Pb at its relaxed geometry.

```
CdMo2Pb
1.0
-2.1297 2.1297 4.1501
2.1297 -2.1297 4.1501
2.1297 2.1297 -4.1501
Cd Mo Pb
1 2 1
Direct
0.0000 0.0000 0.0000
0.2500 0.7500 0.5000
0.5000 0.5000 0.0000
0.7500 0.2500 0.5000
```

Calculated values
* calculated density: 11.3 Mg/m³
* energy: -23.39 eV per cell
* relative energy among the computed polymorphs: 361 meV/atom
* DFT formation energy: 724 meV/atom


[6]
Density functional theory data (PBE) for crystalline Cd4MoPb at its relaxed geometry.

```
Cd4MoPb
1.0
0.0000 4.1035 4.1035
4.1035 0.0000 4.1035
4.1035 4.1035 0.0000
Cd Mo Pb
4 1 1
Direct
0.1242 0.1242 0.1242
0.1242 0.1242 0.6273
0.1242 0.6273 0.1242
0.6273 0.1242 0.1242
0.7500 0.7500 0.7500
0.5000 0.5000 0.5000
```

Calculated values
* calculated density: 9.0 Mg/m³
* energy: -15.21 eV per cell
* DFT formation energy: 498 meV/atom


[7]
Density functional theory data (PBE) for crystalline CdMo2Pb at its relaxed geometry.

```
CdMo2Pb
1.0
0.0000 3.3406 3.3406
3.3406 0.0000 3.3406
3.3406 3.3406 0.0000
Cd Mo Pb
1 2 1
Direct
0.0000 0.0000 0.0000
0.2500 0.2500 0.2500
0.7500 0.7500 0.7500
0.5000 0.5000 0.5000
```

Calculated values
* calculated density: 11.4 Mg/m³
* energy: -22.91 eV per cell
* relative energy among the computed polymorphs: 483 meV/atom
* DFT formation energy: 845 meV/atom


[8]
Density functional theory data (PBE) for crystalline CdMo2Pb at its relaxed geometry.

```
CdMo2Pb
1.0
2.9209 -4.7362 0.0000
2.9209 4.7362 0.0000
-0.9721 0.0000 2.7662
Cd Mo Pb
1 2 1
Direct
0.0000 0.0000 0.0000
0.0000 0.5000 0.5000
0.5000 0.0000 0.5000
0.5000 0.5000 0.0000
```

Calculated values
* calculated density: 11.1 Mg/m³
* energy: -23.30 eV per cell
* relative energy among the computed polymorphs: 384 meV/atom
* DFT formation energy: 746 meV/atom


[9]
Density functional theory data (PBE) for crystalline CdMo2Pb at its relaxed geometry.

```
CdMo2Pb
1.0
0.0000 3.3648 3.3648
3.3648 0.0000 3.3648
3.3648 3.3648 0.0000
Cd Mo Pb
1 2 1
Direct
0.0000 0.0000 0.0000
0.2500 0.2500 0.2500
0.5000 0.5000 0.5000
0.7500 0.7500 0.7500
```

Calculated values
* calculated density: 11.1 Mg/m³
* energy: -23.10 eV per cell
* relative energy among the computed polymorphs: 434 meV/atom
* DFT formation energy: 796 meV/atom


[10]
Density functional theory data (PBE) for crystalline CdMo2Pb at its relaxed geometry.

```
CdMo2Pb
1.0
1.7341 -2.3553 0.0000
1.7341 2.3553 0.0000
0.0000 0.0000 9.4225
Cd Mo Pb
1 2 1
Direct
0.0000 0.0000 0.0000
0.5000 0.5000 0.2479
0.5000 0.5000 0.7521
0.0000 0.0000 0.5000
```

Calculated values
* calculated density: 11.0 Mg/m³
* energy: -23.13 eV per cell
* relative energy among the computed polymorphs: 427 meV/atom
* DFT formation energy: 789 meV/atom


[11]
Density functional theory data (PBE) for crystalline CdMo2Pb at its relaxed geometry.

```
CdMo2Pb
1.0
4.0928 0.0000 0.0000
0.0000 4.0928 0.0000
0.0000 0.0000 4.5427
Cd Mo Pb
1 2 1
Direct
0.0000 0.0000 0.0000
0.0000 0.5000 0.5000
0.5000 0.0000 0.5000
0.5000 0.5000 0.0000
```

Calculated values
* calculated density: 11.2 Mg/m³
* energy: -23.06 eV per cell
* relative energy among the computed polymorphs: 445 meV/atom
* DFT formation energy: 807 meV/atom


[12]
Density functional theory data (PBE) for crystalline CdMoPb at its relaxed geometry.

```
CdMoPb
1.0
-1.5125 1.5125 7.4506
1.5125 -1.5125 7.4506
1.5125 1.5125 -7.4506
Cd Mo Pb
1 1 1
Direct
0.0000 0.0000 0.0000
0.3658 0.3658 0.0000
0.7125 0.7125 0.0000
```

Calculated values
* calculated density: 10.1 Mg/m³
* energy: -13.59 eV per cell
* relative energy among the computed polymorphs: 9 meV/atom
* DFT formation energy: 620 meV/atom


[13]
Density functional theory data (PBE) for crystalline CdMo2Pb at its relaxed geometry.

```
CdMo2Pb
1.0
-3.8398 3.8398 2.8333
3.8398 -3.8398 2.8333
3.8398 3.8398 -2.8333
Cd Mo Pb
2 4 2
Direct
0.0000 0.0000 0.0000
0.7500 0.2500 0.5000
0.1278 0.6250 0.0028
0.3750 0.3778 0.5028
0.6222 0.1250 0.9972
0.8750 0.8722 0.4972
0.2500 0.7500 0.5000
0.5000 0.5000 0.0000
```

Calculated values
* calculated density: 10.2 Mg/m³
* energy: -43.17 eV per cell
* relative energy among the computed polymorphs: 813 meV/atom
* DFT formation energy: 1176 meV/atom


[14]
Density functional theory data (PBE) for crystalline CdMo2Pb at its relaxed geometry.

```
CdMo2Pb
1.0
5.0054 -1.6611 0.0000
5.0054 1.6611 0.0000
-0.9919 0.0000 5.0968
Cd Mo Pb
1 2 1
Direct
0.0000 0.0000 0.0000
0.2511 0.2511 0.8267
0.7489 0.7489 0.1733
0.5000 0.5000 0.5000
```

Calculated values
* calculated density: 10.0 Mg/m³
* energy: -23.80 eV per cell
* relative energy among the computed polymorphs: 260 meV/atom
* DFT formation energy: 622 meV/atom


[15]
Density functional theory data (PBE) for crystalline CdMo2Pb at its relaxed geometry.

```
CdMo2Pb
1.0
3.2438 0.0000 0.0000
0.0000 3.2247 0.0000
-1.4122 0.0000 8.2133
Cd Mo Pb
1 2 1
Direct
0.0000 0.0000 0.0000
0.4003 0.5000 0.7603
0.8059 0.0000 0.6070
0.2116 0.5000 0.3454
```

Calculated values
* calculated density: 9.9 Mg/m³
* energy: -24.84 eV per cell
* relative energy among the computed polymorphs: 0 meV/atom
* DFT formation energy: 362 meV/atom


[16]
Density functional theory data (PBE) for crystalline CdMoPt2Pb at its relaxed geometry.

```
CdMoPt2Pb
1.0
4.8733 0.0000 0.0000
0.0000 4.8733 0.0000
0.0000 0.0000 5.2646
Cd Mo Pt Pb
1 1 2 1
Direct
0.0000 0.0000 0.0000
0.0000 0.0000 0.5000
0.0000 0.5000 0.5000
0.5000 0.0000 0.5000
0.5000 0.5000 0.0000
```

Calculated values
* calculated density: 10.7 Mg/m³
* energy: -23.88 eV per cell
* DFT formation energy: 731 meV/atom


[17]
Density functional theory data (PBE) for crystalline CdSbMo2Pb at its relaxed geometry.

```
CdSbMo2Pb
1.0
5.3677 0.0000 0.0000
0.0000 5.3677 0.0000
0.0000 0.0000 5.3156
Cd Sb Mo Pb
1 1 2 1
Direct
0.0000 0.0000 0.0000
0.5000 0.5000 0.0000
0.0000 0.5000 0.5000
0.5000 0.0000 0.5000
0.0000 0.0000 0.5000
```

Calculated values
* calculated density: 6.9 Mg/m³
* energy: -21.46 eV per cell
* ΔE_f (raw): 1.789 eV per atom


[18]
Density functional theory data (PBE) for crystalline SrCdMo2Pb at its relaxed geometry.

```
SrCdMo2Pb
1.0
5.0108 0.0000 0.0000
0.0000 5.0108 0.0000
0.0000 0.0000 5.8124
Sr Cd Mo Pb
1 1 2 1
Direct
0.0000 0.0000 0.0000
0.5000 0.5000 0.5000
0.0000 0.5000 0.0000
0.5000 0.0000 0.0000
0.0000 0.0000 0.5000
```

Calculated values
* calculated density: 6.8 Mg/m³
* energy: -16.14 eV per cell
* DFT formation energy: 2365 meV/atom


[19]
Density functional theory data (PBE) for crystalline CdMoPd2 at its relaxed geometry.

```
CdMoPd2
1.0
1.4321 0.8268 9.2584
-1.4321 0.8268 9.2584
0.0000 -1.6537 9.2584
Cd Mo Pd
1 1 2
Direct
0.0000 0.0000 0.0000
0.5000 0.5000 0.5000
0.2464 0.2464 0.2464
0.7536 0.7536 0.7536
```

Calculated values
* calculated density: 10.6 Mg/m³
* energy: -22.33 eV per cell
* relative energy among the computed polymorphs: 112 meV/atom
* DFT formation energy: -51 meV/atom


[20]
Density functional theory data (PBE) for crystalline CdMoPd2 at its relaxed geometry.

```
CdMoPd2
1.0
-3.6194 3.6194 2.8263
3.6194 -3.6194 2.8263
3.6194 3.6194 -2.8263
Cd Mo Pd
2 2 4
Direct
0.0000 0.0000 0.0000
0.7500 0.2500 0.5000
0.2500 0.7500 0.5000
0.5000 0.5000 0.0000
0.1463 0.6250 0.0213
0.3750 0.3963 0.5213
0.6037 0.1250 0.9787
0.8750 0.8537 0.4787
```

Calculated values
* calculated density: 9.4 Mg/m³
* energy: -40.02 eV per cell
* relative energy among the computed polymorphs: 693 meV/atom
* DFT formation energy: 530 meV/atom